4
Lattice="-1.2165 1.8014 2.0818 -2.5577 0.5390 -1.9610 -3.1674 -5.2465 2.6891" Properties=species:S:1:pos:R:3 comment="Fe2RhBr SCAN single point on PBEsol structure" spacegroup="Pmmm (47)" m_tot_mub_per_cell=7.61 polymorph_energy_kcal_per_mol_atoms=0.00 energy_ev_per_cell=-89.0 pbc="T T T"
Br -3.4708 -1.4531 1.4049
Fe -3.8463 -3.9833 1.1992
Fe -1.8788 -0.7242 -0.4712
Rh -0.6083 0.9007 1.0409


4
Lattice="4.2925 0.0000 0.0000 2.1463 3.7174 0.0000 2.1463 1.2391 3.5048" Properties=species:S:1:pos:R:3 comment="Fe2RhBr SCAN single point on PBEsol structure" spacegroup="F-43m (216)" m_tot_mub_per_cell=6.99 polymorph_energy_kcal_per_mol_atoms=11.71 energy_ev_per_cell=-87.0 pbc="T T T"
Br 4.2925 2.4783 1.7524
Fe 0.0000 0.0000 0.0000
Fe 6.4388 3.7174 2.6286
Rh 2.1463 1.2391 0.8762